! RbHg2Br2 PBE optimized geometry; values from VASP
&SYSTEM
  ibrav = 0, nat = 5, ntyp = 3
/
ATOMIC_SPECIES
Br 79.90 Br.upf
Hg 200.59 Hg.upf
Rb 85.47 Rb.upf
CELL_PARAMETERS angstrom
4.220 0.000 0.000
0.000 4.220 0.000
2.110 2.110 9.344
ATOMIC_POSITIONS crystal
Br 0.395 0.395 0.211
Br 0.605 0.605 0.789
Hg 0.750 0.250 0.500
Hg 0.250 0.750 0.500
Rb 0.000 0.000 0.000
! M_tot	0.0	μB per formula unit
! polymorph energy (0 for the lowest one)	0	meV/atom
! E_form (uncorrected)	-0.7249	eV/atom
! VASP energy	-8.54	eV per cell